Entry from Alexandria: a PBEsol-optimized structure of LiCoPHO5 (meta-GGA SCAN).

Summary:
The calculation puts the energy at -9.21 eV/atom.

Structure (CIF):
```
data_LiCoPHO5
_chemical_formula_sum 'Li2 Co2 P2 H2 O10'
_cell_length_a 4.9984
_cell_length_b 5.1963
_cell_length_c 6.9334
_cell_angle_alpha 107.09
_cell_angle_beta 108.90
_cell_angle_gamma 98.34
_space_group_name_H-M_alt 'P -1'
_space_group_IT_number 2
loop_
_space_group_symop_operation_xyz
'x,y,z'
'-x,-y,-z'
loop_
_atom_site_label
_atom_site_type_symbol
_atom_site_fract_x
_atom_site_fract_y
_atom_site_fract_z
Li1 Li 0.2411 0.3880 0.3187
Co1 Co 0.5000 0.0000 0.0000
Co2 Co 0.5000 0.0000 0.5000
P1 P 0.1804 0.3532 0.7359
H1 H 0.1522 0.9154 0.1468
O1 O 0.1373 0.7617 0.4377
O2 O 0.1953 0.6647 0.8443
O3 O 0.2275 0.2006 0.8996
O4 O 0.3544 0.0441 0.2260
O5 O 0.3989 0.3338 0.6192
```

Entry from Alexandria: a PBEsol-optimized structure of LiCo2P4H3O14 (meta-GGA SCAN).

Summary:
The calculation puts the energy at -9.38 eV/atom.

Structure (CIF):
```
data_LiCo2P4H3O14
_chemical_formula_sum 'Li4 Co8 P16 H12 O56'
_cell_length_a 10.9151
_cell_length_b 12.6785
_cell_length_c 8.8981
_cell_angle_alpha 90.00
_cell_angle_beta 123.54
_cell_angle_gamma 90.00
_space_group_name_H-M_alt 'C 1 c 1'
_space_group_IT_number 9
loop_
_space_group_symop_operation_xyz
'x,y,z'
'x,-y,z+1/2'
'x+1/2,y+1/2,z'
'x+1/2,-y+1/2,z+1/2'
loop_
_atom_site_label
_atom_site_type_symbol
_atom_site_fract_x
_atom_site_fract_y
_atom_site_fract_z
Li1 Li 0.0000 0.1399 0.0000
Co1 Co 0.0020 0.0972 0.5030
Co2 Co 0.2516 0.2501 0.7530
P1 P 0.0722 0.2864 0.3181
P2 P 0.2268 0.0404 0.9388
P3 P 0.2770 0.4598 0.5666
P4 P 0.4314 0.2139 0.1878
H1 H 0.1596 0.3854 0.9516
H2 H 0.2465 0.2495 0.2501
H3 H 0.3432 0.1144 0.5518
O1 O 0.0961 0.3094 0.8010
O2 O 0.0969 0.0267 0.9554
O3 O 0.1159 0.2176 0.4813
O4 O 0.1231 0.2402 0.2007
O5 O 0.1559 0.3959 0.3900
O6 O 0.1893 0.1035 0.7719
O7 O 0.1994 0.4376 0.0603
O8 O 0.3031 0.0626 0.4432
O9 O 0.3142 0.3967 0.7331
O10 O 0.3491 0.1036 0.1147
O11 O 0.3792 0.2598 0.3026
O12 O 0.3889 0.2821 0.0238
O13 O 0.4071 0.4735 0.5504
O14 O 0.4079 0.1908 0.7042
```

Entry from Alexandria: a PBEsol-optimized structure of Li2CoPHO5 (meta-GGA SCAN).

Summary:
The calculation puts the energy at -8.77 eV/atom.

Structure (CIF):
```
data_Li2CoPHO5
_chemical_formula_sum 'Li4 Co2 P2 H2 O10'
_cell_length_a 5.2545
_cell_length_b 5.4534
_cell_length_c 7.3358
_cell_angle_alpha 109.22
_cell_angle_beta 110.01
_cell_angle_gamma 93.63
_space_group_name_H-M_alt 'P -1'
_space_group_IT_number 2
loop_
_space_group_symop_operation_xyz
'x,y,z'
'-x,-y,-z'
loop_
_atom_site_label
_atom_site_type_symbol
_atom_site_fract_x
_atom_site_fract_y
_atom_site_fract_z
Li1 Li 0.0052 0.1274 0.3333
Li2 Li 0.2770 0.3898 0.2061
Co1 Co 0.5000 0.0000 0.0000
Co2 Co 0.5000 0.0000 0.5000
P1 P 0.1675 0.3750 0.7413
H1 H 0.1886 0.8915 0.1268
O1 O 0.1180 0.7750 0.4331
O2 O 0.1466 0.6689 0.8384
O3 O 0.2304 0.2428 0.9063
O4 O 0.3370 0.0473 0.2246
O5 O 0.3847 0.3514 0.6411
```

Entry from Alexandria: a PBEsol-optimized structure of Li2CoHRh (meta-GGA SCAN).

Summary:
The calculation puts the energy at -11.92 eV/atom.

Structure (CIF):
```
data_Li2CoHRh
_chemical_formula_sum 'Li2 Co1 H1 Rh1'
_cell_length_a 3.5848
_cell_length_b 3.5848
_cell_length_c 3.8548
_cell_angle_alpha 90.00
_cell_angle_beta 90.00
_cell_angle_gamma 90.00
_space_group_name_H-M_alt 'P 4/m m m'
_space_group_IT_number 123
_space_group_name_Hall '-P 4 2'
loop_
_atom_site_label
_atom_site_type_symbol
_atom_site_fract_x
_atom_site_fract_y
_atom_site_fract_z
Li1 Li 0.0000 0.5000 0.0000
Co1 Co 0.0000 0.0000 0.5000
H1 H 0.5000 0.5000 0.0000
Rh1 Rh 0.5000 0.5000 0.5000
```

Entry from Alexandria: a PBEsol-optimized structure of LiCo2HRu (meta-GGA SCAN).

Summary:
The calculation puts the energy at -14.30 eV/atom.

Structure (CIF):
```
data_LiCo2HRu
_chemical_formula_sum 'Li1 Co2 H1 Ru1'
_cell_length_a 4.5125
_cell_length_b 4.5125
_cell_length_c 3.2045
_cell_angle_alpha 90.00
_cell_angle_beta 90.00
_cell_angle_gamma 90.00
_space_group_name_H-M_alt 'P 4/m m m'
_space_group_IT_number 123
_space_group_name_Hall '-P 4 2'
loop_
_atom_site_label
_atom_site_type_symbol
_atom_site_fract_x
_atom_site_fract_y
_atom_site_fract_z
Li1 Li 0.0000 0.0000 0.0000
Co1 Co 0.0000 0.5000 0.5000
H1 H 0.5000 0.5000 0.0000
Ru1 Ru 0.5000 0.5000 0.5000
```

Entry from Alexandria: a PBEsol-optimized structure of MgCo2H2 (meta-GGA SCAN).

Summary:
The calculation puts the energy at -8.82 eV/atom.

Structure (CIF):
```
data_MgCo2H2
_chemical_formula_sum 'Mg2 Co4 H4'
_cell_length_a 5.6459
_cell_length_b 5.6459
_cell_length_c 2.6579
_cell_angle_alpha 90.00
_cell_angle_beta 90.00
_cell_angle_gamma 90.00
_space_group_name_H-M_alt 'P 4/m b m'
_space_group_IT_number 127
_space_group_name_Hall '-P 4 2ab'
loop_
_atom_site_label
_atom_site_type_symbol
_atom_site_fract_x
_atom_site_fract_y
_atom_site_fract_z
Mg1 Mg 0.0000 0.0000 0.0000
Co1 Co 0.1350 0.3650 0.5000
H1 H 0.1121 0.6121 0.0000
```

Entry from Alexandria: a PBEsol-optimized structure of MgCoSbH2 (meta-GGA SCAN).

Summary:
The calculation puts the energy at -12.53 eV/atom.

Structure (CIF):
```
data_MgCoSbH2
_chemical_formula_sum 'Mg1 Co1 Sb1 H2'
_cell_length_a 3.7441
_cell_length_b 3.7441
_cell_length_c 4.9166
_cell_angle_alpha 90.00
_cell_angle_beta 90.00
_cell_angle_gamma 90.00
_space_group_name_H-M_alt 'P 4/m m m'
_space_group_IT_number 123
_space_group_name_Hall '-P 4 2'
loop_
_atom_site_label
_atom_site_type_symbol
_atom_site_fract_x
_atom_site_fract_y
_atom_site_fract_z
Mg1 Mg 0.0000 0.0000 0.0000
Co1 Co 0.0000 0.0000 0.5000
Sb1 Sb 0.5000 0.5000 0.0000
H1 H 0.0000 0.5000 0.5000
```

Entry from Alexandria: a PBEsol-optimized structure of Co3MoH (meta-GGA SCAN).

Summary:
The calculation puts the energy at -17.84 eV/atom.

Structure (CIF):
```
data_Co3MoH
_chemical_formula_sum 'Co3 Mo1 H1'
_cell_length_a 3.5843
_cell_length_b 3.5843
_cell_length_c 3.5843
_cell_angle_alpha 90.00
_cell_angle_beta 90.00
_cell_angle_gamma 90.00
_space_group_name_H-M_alt 'P m -3 m'
_space_group_IT_number 221
_space_group_name_Hall '-P 4 2 3'
loop_
_atom_site_label
_atom_site_type_symbol
_atom_site_fract_x
_atom_site_fract_y
_atom_site_fract_z
Co1 Co 0.0000 0.0000 0.5000
Mo1 Mo 0.5000 0.5000 0.5000
H1 H 0.0000 0.0000 0.0000
```

Entry from Alexandria: a PBEsol-optimized structure of CoMoH2SeO7 (meta-GGA SCAN).

Summary:
The calculation puts the energy at -11.64 eV/atom.

Structure (CIF):
```
data_CoMoH2SeO7
_chemical_formula_sum 'Co2 Mo2 H4 Se2 O14'
_cell_length_a 4.9214
_cell_length_b 6.4902
_cell_length_c 8.7082
_cell_angle_alpha 91.89
_cell_angle_beta 96.26
_cell_angle_gamma 109.68
_space_group_name_H-M_alt 'P -1'
_space_group_IT_number 2
loop_
_space_group_symop_operation_xyz
'x,y,z'
'-x,-y,-z'
loop_
_atom_site_label
_atom_site_type_symbol
_atom_site_fract_x
_atom_site_fract_y
_atom_site_fract_z
Co1 Co 0.0000 0.0000 0.0000
Co2 Co 0.5000 0.5000 0.5000
Mo1 Mo 0.2032 0.9058 0.6043
H1 H 0.3733 0.3576 0.1439
H2 H 0.4616 0.7503 0.9854
Se1 Se 0.1350 0.6826 0.2423
O1 O 0.1362 0.9601 0.7900
O2 O 0.1677 0.1956 0.5130
O3 O 0.2058 0.7731 0.0657
O4 O 0.2694 0.6561 0.6009
O5 O 0.3416 0.5195 0.2772
O6 O 0.3536 0.2432 0.0584
O7 O 0.3661 0.9172 0.3696
```

Entry from Alexandria: a PBEsol-optimized structure of TaCoMoH2 (meta-GGA SCAN).

Summary:
The calculation puts the energy at -24.54 eV/atom.

Structure (CIF):
```
data_TaCoMoH2
_chemical_formula_sum 'Ta1 Co1 Mo1 H2'
_cell_length_a 3.4612
_cell_length_b 3.4612
_cell_length_c 4.5728
_cell_angle_alpha 90.00
_cell_angle_beta 90.00
_cell_angle_gamma 90.00
_space_group_name_H-M_alt 'P 4/m m m'
_space_group_IT_number 123
_space_group_name_Hall '-P 4 2'
loop_
_atom_site_label
_atom_site_type_symbol
_atom_site_fract_x
_atom_site_fract_y
_atom_site_fract_z
Ta1 Ta 0.0000 0.0000 0.0000
Co1 Co 0.5000 0.5000 0.0000
Mo1 Mo 0.5000 0.5000 0.5000
H1 H 0.0000 0.5000 0.5000
```

Entry from Alexandria: a PBEsol-optimized structure of CoPH16NO10 (meta-GGA SCAN).

Summary:
The calculation puts the energy at -6.51 eV/atom.

Structure (CIF):
```
data_CoPH16NO10
_chemical_formula_sum 'Co2 P2 H32 N2 O20'
_cell_length_a 6.8831
_cell_length_b 6.0323
_cell_length_c 11.1497
_cell_angle_alpha 90.00
_cell_angle_beta 90.00
_cell_angle_gamma 90.00
_space_group_name_H-M_alt 'P m n 21'
_space_group_IT_number 31
loop_
_space_group_symop_operation_xyz
'x,y,z'
'-x+1/2,-y,z+1/2'
'-x,y,z'
'x+1/2,-y,z+1/2'
loop_
_atom_site_label
_atom_site_type_symbol
_atom_site_fract_x
_atom_site_fract_y
_atom_site_fract_z
Co1 Co 0.0000 0.1415 0.0000
P1 P 0.0000 0.4881 0.6255
H1 H 0.0000 0.1222 0.2669
H2 H 0.0000 0.2514 0.4062
H3 H 0.0000 0.6863 0.9651
H4 H 0.0000 0.7849 0.8293
H5 H 0.1196 0.5261 0.1143
H6 H 0.1225 0.0025 0.3794
H7 H 0.1764 0.6495 0.4285
H8 H 0.1794 0.8634 0.6414
H9 H 0.2033 0.3005 0.8049
H10 H 0.2456 0.8821 0.1294
N1 N 0.0000 0.0999 0.3591
O1 O 0.0000 0.4749 0.0687
O2 O 0.0000 0.5034 0.4866
O3 O 0.0000 0.7247 0.6807
O4 O 0.0000 0.8259 0.9164
O5 O 0.1855 0.3652 0.6684
O6 O 0.2034 0.0412 0.1196
O7 O 0.2290 0.2432 0.8895
```

Entry from Alexandria: a PBEsol-optimized structure of CoP3H16N4O11 (meta-GGA SCAN).

Summary:
The calculation puts the energy at -7.24 eV/atom.

Structure (CIF):
```
data_CoP3H16N4O11
_chemical_formula_sum 'Co4 P12 H64 N16 O44'
_cell_length_a 7.1602
_cell_length_b 13.9510
_cell_length_c 13.5701
_cell_angle_alpha 90.00
_cell_angle_beta 117.44
_cell_angle_gamma 90.00
_space_group_name_H-M_alt 'P 1 21/c 1'
_space_group_IT_number 14
loop_
_space_group_symop_operation_xyz
'x,y,z'
'-x,-y,-z'
'-x,y+1/2,-z+1/2'
'x,-y+1/2,z+1/2'
loop_
_atom_site_label
_atom_site_type_symbol
_atom_site_fract_x
_atom_site_fract_y
_atom_site_fract_z
Co1 Co 0.0249 0.1036 0.2810
P1 P 0.1473 0.1708 0.5388
P2 P 0.3117 0.1583 0.9751
P3 P 0.4734 0.2069 0.3696
H1 H 0.0063 0.0258 0.1126
H2 H 0.0131 0.6442 0.4020
H3 H 0.0170 0.7220 0.7207
H4 H 0.1276 0.5671 0.8404
H5 H 0.2093 0.0354 0.7652
H6 H 0.2135 0.7359 0.3368
H7 H 0.2184 0.6409 0.0102
H8 H 0.2233 0.5796 0.4179
H9 H 0.2244 0.5295 0.1631
H10 H 0.2281 0.5317 0.7546
H11 H 0.2325 0.7319 0.2196
H12 H 0.3081 0.6106 0.6330
H13 H 0.3241 0.9999 0.1022
H14 H 0.3359 0.0050 0.3869
H15 H 0.3510 0.5643 0.2964
H16 H 0.4289 0.1779 0.7115
N1 N 0.0620 0.5862 0.3726
N2 N 0.1288 0.7235 0.2529
N3 N 0.1955 0.5110 0.8190
N4 N 0.2144 0.5330 0.2361
O1 O 0.0323 0.6656 0.9305
O2 O 0.1160 0.1136 0.4385
O3 O 0.1666 0.2158 0.0186
O4 O 0.1751 0.1252 0.8591
O5 O 0.2413 0.5465 0.6227
O6 O 0.2568 0.1755 0.2854
O7 O 0.3602 0.1394 0.6367
O8 O 0.3784 0.6206 0.0757
O9 O 0.4336 0.7210 0.6804
O10 O 0.4420 0.0877 0.0637
O11 O 0.4719 0.2411 0.9768
```